Arrangement A

Compound: CdRe
Source: Alexandria via LeMat-Bulk
Functional: GGA-PBE
Structure: optimized geometry

SG ... P4/mmm
Fermi-level density of states ... 3.653 states/eV per cell

Cell: 3.863 3.863 4.662 Å, 90.00 90.00 90.00°
Fractional positions:
Re (0.250, 0.250, 0.500)
Re (0.750, 0.750, 0.500)
Cd (0.250, 0.750, 0.000)
Cd (0.750, 0.250, 0.000)

***

Arrangement B

Compound: CdRe
Source: Alexandria via LeMat-Bulk
Functional: GGA-PBE
Structure: optimized geometry

SG ... Pmmn
Fermi-level density of states ... 9.256 states/eV per cell

Cell: 4.729 2.679 19.319 Å, 90.00 90.00 90.00°
Each line ends with the local moment (μB).
Fractional positions:
Cd (0.000, 0.930, 0.368)  0.00
Cd (0.500, 0.070, 0.132)  0.00
Cd (0.000, 0.070, 0.000)  0.00
Cd (0.500, 0.070, 0.868)  0.00
Cd (0.500, 0.930, 0.500)  0.00
Cd (0.000, 0.930, 0.632)  0.00
Re (0.500, 0.570, 0.000)  0.34
Re (0.000, 0.350, 0.768)  -0.01
Re (0.000, 0.430, 0.500)  0.34
Re (0.500, 0.650, 0.268)  -0.01
Re (0.000, 0.350, 0.232)  -0.01
Re (0.500, 0.650, 0.732)  -0.01

***

Looking at the structures above, which would you pick as the most stable? I would pick arrangement A.